Entry 1:
Compound: CaFeTc2
Source: Alexandria
Functional: GGA-PBE
Structure: relaxed

Geometry as POSCAR:
```
CaFeTc2
1.0
-0.2262 4.9777 -2.0818
-4.5625 -2.4603 1.5144
0.2428 0.9888 2.3379
Tc Fe Ca
2 1 1
Direct
0.0000 0.0000 0.0000
0.5000 0.5000 0.0000
0.0000 0.5000 0.5000
0.5000 0.0000 0.5000
```

Results
- ΔE to the lowest computed polymorph: 292.9 meV/atom
- ΔH_f (0 K): 64 kJ/mol of atoms

***

Entry 2:
Compound: K3Y3ScS8
Source: Alexandria
Functional: GGA-PBE
Structure: relaxed

Geometry as POSCAR:
```
K3Y3ScS8
1.0
-6.2280 -0.3722 -4.8934
7.3630 -0.5078 -2.9093
-3.0280 -6.9997 4.3867
Y S K Sc
3 8 3 1
Direct
0.0000 0.5000 0.5000
0.5000 0.5000 0.5000
0.5000 0.0000 0.5000
0.2241 0.4482 0.6927
0.2656 0.5312 0.2968
0.7759 0.5518 0.3073
0.7344 0.4688 0.7032
0.7759 0.0314 0.3073
0.7445 0.9686 0.6927
0.2555 0.0314 0.3073
0.2241 0.9686 0.6927
0.5000 0.5000 0.0000
0.0000 0.5000 0.0000
0.0000 0.0000 0.0000
0.0000 0.0000 0.5000
```

Results
- Raw formation energy: -1.76 eV per atom

***

Entry 3:
Compound: Y2ZnIrW
Source: Alexandria
Functional: GGA-PBE
Structure: relaxed

Geometry as POSCAR:
```
Y2ZnIrW
1.0
5.4103 0.0000 0.0000
0.0000 4.7382 0.0000
0.0000 0.0000 5.4103
Y Zn Ir W
2 1 1 1
Direct
0.5000 0.0000 0.0000
0.0000 0.0000 0.5000
0.5000 0.5000 0.5000
0.0000 0.0000 0.0000
0.0000 0.5000 0.0000
```

Results
- ΔH_f (0 K): 43 kJ/mol of atoms

***

Entry 4:
Compound: RbNbNF2
Source: Alexandria
Functional: GGA-PBE
Structure: relaxed

Geometry as POSCAR:
```
RbNbNF2
1.0
4.7006 0.0000 0.0000
0.0000 4.7006 0.0000
0.0000 0.0000 4.5869
F N Nb Rb
2 1 1 1
Direct
0.0000 0.5000 0.0000
0.5000 0.0000 0.0000
0.0000 0.0000 0.5000
0.5000 0.5000 0.5000
0.0000 0.0000 0.0000
```

Results
- ΔE to the lowest computed polymorph: 2466.2 meV/atom
- Raw formation energy: 0.71 eV per atom

***

Entry 5:
Compound: Nd6Ge2S3Cl
Source: Alexandria
Functional: GGA-PBE
Structure: relaxed

Geometry as POSCAR:
```
Nd6Ge2S3Cl
1.0
-1.3189 2.9412 -2.6344
-6.5968 1.4875 4.9634
6.9204 4.2411 4.5594
S Nd Ge Cl
3 6 2 1
Direct
0.5000 0.5000 0.0000
0.1638 0.8369 0.3277
0.8362 0.1631 0.6723
0.3334 0.4151 0.6669
0.6737 0.0901 0.3475
0.9985 0.7262 0.9969
0.0015 0.2738 0.0031
0.6666 0.5849 0.3331
0.3263 0.9099 0.6525
0.1649 0.3301 0.3298
0.8351 0.6699 0.6702
0.5000 0.0000 0.0000
```

Results
- Raw formation energy: -1.58 eV per atom

***

Entry 6:
Compound: BeZnCl2
Source: Alexandria
Functional: GGA-PBE
Structure: relaxed

Geometry as POSCAR:
```
BeZnCl2
1.0
3.4576 0.0000 0.0000
0.0000 6.5065 0.0000
0.0000 0.0000 3.6509
Zn Cl Be
1 2 1
Direct
0.5000 0.0000 0.5000
0.5000 0.5000 0.0000
0.0000 0.0000 0.0000
0.0000 0.5000 0.5000
```

Results
- ΔE to the lowest computed polymorph: 814.6 meV/atom
- Raw formation energy: 0.15 eV per atom

***

Entry 7:
Compound: LaYIrPt
Source: Alexandria
Functional: GGA-PBE
Structure: relaxed

Geometry as POSCAR:
```
LaYIrPt
1.0
-2.0449 3.9611 2.3137
-4.7203 1.3590 -1.0473
-3.6240 -0.6788 3.4103
Ir Pt Y La
1 1 1 1
Direct
0.2500 0.2500 0.2500
0.7500 0.7500 0.7500
0.0000 0.0000 0.0000
0.5000 0.5000 0.5000
```

Results
- ΔH_f (0 K): -86 kJ/mol of atoms

***

Entry 8:
Compound: NpO2F4
Source: Alexandria
Functional: GGA-PBE
Structure: relaxed

Geometry as POSCAR:
```
NpO2F4
1.0
4.1061 0.0000 -0.6867
-0.1929 4.9946 -1.1536
-1.1423 -1.7130 5.7892
O F Np
2 4 1
Direct
0.8531 0.0304 0.7062
0.1469 0.9696 0.2938
0.4932 0.7713 0.9864
0.5068 0.2287 0.0136
0.1427 0.4536 0.2854
0.8573 0.5464 0.7146
0.0000 0.0000 0.0000
```

Results
- Raw formation energy: -2.21 eV per atom